1.
The following is a GGA-PBE calculation of an optimized crystal structure of ReSb2S, from Alexandria via LeMat-Bulk.

The structure in POSCAR format:
```
ReSb2S
1.0
-3.104 3.104 5.914
3.104 -3.104 5.914
3.104 3.104 -5.914
Re Sb S
2 4 2
Direct
0.000 0.000 0.000
0.750 0.250 0.500
0.097 0.625 0.972
0.375 0.347 0.472
0.653 0.125 0.028
0.875 0.903 0.528
0.250 0.750 0.500
0.500 0.500 0.000
```

Summary:
E: -22.1 eV per formula unit
DOS(E_F): 0.9354 states/eV per atom
ΔE_f (raw): 680 meV per atom
space-group type: No. 122



2.
The following is a GGA-PBE calculation of an optimized crystal structure of CdOs2Rh, from Alexandria via LeMat-Bulk.

The structure in POSCAR format:
```
CdOs2Rh
1.0
-1.988 1.988 3.889
1.988 -1.988 3.889
1.988 1.988 -3.889
Cd Os Rh
1 2 1
Direct
0.000 0.000 0.000
0.250 0.750 0.500
0.500 0.500 0.000
0.750 0.250 0.500
```

Summary:
E: -28.7 eV per formula unit
calculated formation energy: 518 meV/atom
DOS(E_F): 1.2944 states/eV per atom
space-group type: No. 119



3.
The following is a GGA-PBE calculation of an optimized crystal structure of Dy2Er12Tm, from Alexandria via LeMat-Bulk.

The structure in POSCAR format:
```
Dy2Er12Tm
1.0
3.585 0.000 0.000
0.000 5.605 0.000
-1.762 0.000 23.060
Dy Er Tm
2 12 1
Direct
0.145 0.000 0.285
0.855 0.000 0.715
0.099 0.500 0.192
0.222 0.500 0.443
0.285 0.000 0.574
0.338 0.500 0.678
0.424 0.000 0.854
0.465 0.500 0.934
0.535 0.500 0.066
0.576 0.000 0.146
0.662 0.500 0.322
0.715 0.000 0.426
0.778 0.500 0.557
0.901 0.500 0.808
0.000 0.000 0.000
```

Summary:
E: -67.3 eV per formula unit
calculated formation energy: 76 meV/atom
DOS(E_F): 1.6733 states/eV per atom
space-group type: No. 10



4.
The following is a GGA-PBE calculation of an optimized crystal structure of Zn5Pd4Ru, from Alexandria via LeMat-Bulk.

The structure in POSCAR format:
```
Zn5Pd4Ru
1.0
3.086 0.000 0.000
0.000 3.086 0.000
0.000 0.000 15.021
Zn Pd Ru
5 4 1
Direct
0.000 0.000 0.000
0.000 0.000 0.201
0.000 0.000 0.403
0.000 0.000 0.597
0.000 0.000 0.799
0.500 0.500 0.100
0.500 0.500 0.299
0.500 0.500 0.701
0.500 0.500 0.900
0.500 0.500 0.500
```

Summary:
E: -40.6 eV per formula unit
calculated formation energy: -421 meV/atom
DOS(E_F): 0.6017 states/eV per atom
space-group type: No. 123



5.
The following is a GGA-PBE calculation of an optimized crystal structure of Hf3ScIr, from Alexandria via LeMat-Bulk.

The structure in POSCAR format:
```
Hf3ScIr
1.0
4.810 0.000 0.000
0.000 4.810 0.000
0.000 0.000 4.810
Hf Sc Ir
3 1 1
Direct
0.000 0.000 0.500
0.000 0.500 0.000
0.500 0.000 0.000
0.000 0.000 0.000
0.500 0.500 0.500
```

Summary:
E: -38.0 eV per formula unit
calculated formation energy: 1413 meV/atom
DOS(E_F): 0.6163 states/eV per atom
distance to the lowest polymorph of the same formula: 1.701 eV per atom
space-group type: No. 221



6.
The following is a GGA-PBE calculation of an optimized crystal structure of KTl6Pb5, from Alexandria via LeMat-Bulk.

The structure in POSCAR format:
```
KTl6Pb5
1.0
2.398 -7.644 0.000
2.398 7.644 0.000
0.000 0.000 10.428
K Tl Pb
1 6 5
Direct
0.000 0.000 0.000
0.167 0.833 0.257
0.167 0.833 0.743
0.500 0.500 0.260
0.500 0.500 0.740
0.833 0.167 0.257
0.833 0.167 0.743
0.000 0.000 0.500
0.320 0.680 0.000
0.332 0.668 0.500
0.668 0.332 0.500
0.680 0.320 0.000
```

Summary:
E: -34.3 eV per formula unit
calculated formation energy: -36 meV/atom
DOS(E_F): 0.4868 states/eV per atom
space-group type: No. 65



Look up the DOS(E_F) of the second one.
1.2944 states/eV per atom



Among the records above, which one has the lowest DOS(E_F)?
KTl6Pb5